# 1
The following is a DFT calculation (PBE) of crystalline CaMg2AuN at its relaxed geometry.

Cell lengths 4.3262, 4.3262, 4.8105 Å; angles 90.00, 90.00, 90.00 degrees
Last column: nearest neighbours and their distance in Å.
Positions (direct):
Mg  0.5000  0.0000  0.0000  2 N 2.16
Au  0.5000  0.5000  0.5000  4 Ca 3.06, 8 Mg 3.23
Mg  0.0000  0.5000  0.0000  2 N 2.16
N  0.0000  0.0000  0.0000  4 Mg 2.16, 2 Ca 2.41
Ca  0.0000  0.0000  0.5000  2 N 2.41

Summary:
D(E_F)	2.23	states/eV/cell
formation energy (no corrections)	-0.617	eV per atom
SG	No. 123

# 2
The following is a DFT calculation (PBE) of crystalline NaCaMgAu at its relaxed geometry.

Cell lengths 5.1214, 5.1214, 5.1214 Å; angles 60.00, 60.00, 60.00 degrees
Last column: nearest neighbours and their distance in Å.
Positions (direct):
Na  0.5000  0.5000  0.5000  4 Ca 3.14, 4 Mg 3.14
Mg  0.2500  0.2500  0.2500  4 Na 3.14, 4 Au 3.14
Ca  0.7500  0.7500  0.7500  4 Au 3.14, 4 Na 3.14
Au  0.0000  0.0000  0.0000  4 Ca 3.14, 4 Mg 3.14

Summary:
energy relative to the elements	-317	meV per atom
D(E_F)	2.33	states/eV/cell
SG	No. 216